# 1
Pr3Th, relaxed, DFT PBE; energy relative to the elements = 196.5 meV per atom; polymorph energy (0 for the lowest one) = 173.1 meV/atom; crystal system = cubic; calculated volume = 35.111 Å³/atom
1.0
8.2513 0.0000 0.0000
0.0000 8.2513 0.0000
0.0000 0.0000 8.2513
Pr Th
12 4
direct
0.0000 0.0000 0.0000
0.0000 0.5000 0.5000
0.2500 0.2500 0.2500
0.2500 0.2500 0.7500
0.2500 0.7500 0.2500
0.2500 0.7500 0.7500
0.5000 0.0000 0.5000
0.5000 0.5000 0.0000
0.7500 0.2500 0.2500
0.7500 0.2500 0.7500
0.7500 0.7500 0.2500
0.7500 0.7500 0.7500
0.0000 0.0000 0.5000
0.0000 0.5000 0.0000
0.5000 0.0000 0.0000
0.5000 0.5000 0.5000

=====

# 2
PrTh8, relaxed, DFT PBE; energy relative to the elements = 101.0 meV per atom; crystal system = tetragonal; calculated volume = 32.510 Å³/atom
1.0
-6.4611 6.4611 1.7522
6.4611 -6.4611 1.7522
6.4611 6.4611 -1.7522
Pr Th
1 8
direct
0.0000 0.0000 0.0000
0.0000 0.3332 0.3332
0.0000 0.6668 0.6668
0.3308 0.3308 0.6616
0.3308 0.6692 0.0000
0.3332 0.0000 0.3332
0.6668 0.0000 0.6668
0.6692 0.3308 0.0000
0.6692 0.6692 0.3384